## GaCuTe (GGA-PBE)

Data for a relaxed GaCuTe crystal.

Cell: 4.1392 4.1392 29.3136 Å, 90.00 90.00 120.00°
Space group R3m (No. 160, hexagonal axes)
Symmetry-distinct sites (fractional):
1 Ga 0.0000 0.0000 0.0000 (multiplicity 3)
2 Ga 0.0000 0.0000 0.4116 (multiplicity 3)
3 Cu 0.0000 0.0000 0.3298 (multiplicity 3)
4 Cu 0.0000 0.0000 0.6187 (multiplicity 3)
5 Te 0.0000 0.0000 0.2437 (multiplicity 3)
6 Te 0.0000 0.0000 0.7898 (multiplicity 3)

Summary:
The energy above the lowest structure with this stoichiometry comes out at 0 meV/atom. Its total magnetic moment is 0.0 μB/f.u. The density of states at the Fermi level comes out at 3.15 states/eV/cell. Its crystal system is trigonal.

***

## Ca2Zn5Au12 (GGA-PBE)

Data for a relaxed Ca2Zn5Au12 crystal.

Cell: 9.4468 9.4468 14.1014 Å, 90.00 90.00 120.00°
Space group R-3m (No. 166, hexagonal axes)
Symmetry-distinct sites (fractional):
1 Ca 0.0000 0.0000 0.1501 (multiplicity 6)
2 Zn 0.0000 0.0000 0.4006 (multiplicity 6)
3 Zn 0.0000 0.5000 0.0000 (multiplicity 9)
4 Au 0.0000 0.3076 0.5000 (multiplicity 18)
5 Au 0.0189 0.5094 0.3464 (multiplicity 18)

Summary:
The calculated formation energy comes out at -0.341 eV per atom. Its total magnetic moment is 0.0 μB/f.u. The density of states at the Fermi level comes out at 12.00 states/eV/cell. Its crystal system is trigonal.

***

## DyErMg3 (GGA-PBE)

Data for a relaxed DyErMg3 crystal.

Cell: 5.152 19.688 10.393 Å, 90.00 90.00 90.00°
Space group Imma (No. 74)
Symmetry-distinct sites (fractional):
1 Dy 0.000 0.051 0.129 (multiplicity 8)
2 Er 0.000 0.250 0.122 (multiplicity 4)
3 Er 0.000 0.250 0.623 (multiplicity 4)
4 Mg 0.000 0.056 0.607 (multiplicity 8)
5 Mg 0.000 0.140 0.866 (multiplicity 8)
6 Mg 0.000 0.152 0.374 (multiplicity 8)

Summary:
The calculated formation energy comes out at -0.026 eV per atom. The energy above the lowest structure with this stoichiometry comes out at 0 meV/atom. Its total magnetic moment is 0.0 μB/f.u. The density of states at the Fermi level comes out at 43.06 states/eV/cell. Its crystal system is orthorhombic.

***

## AgSb2Te (GGA-PBE)

Data for a relaxed AgSb2Te crystal.

Cell: 8.172 3.225 8.258 Å, 90.00 96.25 90.00°
Space group Cm (No. 8)
Symmetry-distinct sites (fractional):
1 Ag 0.000 0.000 0.000 (multiplicity 2)
2 Sb 0.013 0.500 0.523 (multiplicity 2)
3 Sb 0.266 0.000 0.772 (multiplicity 2)
4 Te 0.238 0.500 0.215 (multiplicity 2)

Summary:
The calculation puts the electronic total energy at -0.2551 Ry/atom. Its total magnetic moment is 0.0 μB/f.u. The density of states at the Fermi level comes out at 2.85 states/eV/cell. Its crystal system is monoclinic.

***

## Li2CdPdF6 (GGA-PBE)

Data for a relaxed Li2CdPdF6 crystal.

Cell: 11.210 9.586 6.111 Å, 90.00 116.34 90.00°
Space group C2/c (No. 15)
Symmetry-distinct sites (fractional):
1 Li 0.194 0.066 0.148 (multiplicity 8)
2 Cd 0.000 0.397 0.250 (multiplicity 4)
3 Pd 0.000 0.231 0.750 (multiplicity 4)
4 F 0.108 0.238 0.149 (multiplicity 8)
5 F 0.112 0.420 0.680 (multiplicity 8)
6 F 0.146 0.070 0.809 (multiplicity 8)

Summary:
The calculation puts the electronic total energy at -0.3106 Ry/atom. Its total magnetic moment is 2.0 μB/f.u. Its crystal system is monoclinic.

***

## SiBiTeIr2 (GGA-PBE)

Data for a relaxed SiBiTeIr2 crystal.

Cell: 5.047 5.047 5.236 Å, 90.00 90.00 90.00°
Space group P4/mmm (No. 123)
Symmetry-distinct sites (fractional):
1 Si 0.000 0.000 0.000 (multiplicity 1)
2 Bi 0.000 0.000 0.500 (multiplicity 1)
3 Te 0.500 0.500 0.000 (multiplicity 1)
4 Ir 0.000 0.500 0.500 (multiplicity 2)

Summary:
The calculation puts the electronic total energy at -0.3129 Ry/atom. Its total magnetic moment is 0.0 μB/f.u. The density of states at the Fermi level comes out at 4.70 states/eV/cell. Its crystal system is tetragonal.

***

## SbPtNF2 (GGA-PBE)

Data for a relaxed SbPtNF2 crystal.

Cell: 4.724 4.724 3.661 Å, 90.00 90.00 90.00°
Space group P4/mmm (No. 123)
Symmetry-distinct sites (fractional):
1 Sb 0.000 0.000 0.000 (multiplicity 1)
2 Pt 0.500 0.500 0.500 (multiplicity 1)
3 N 0.500 0.500 0.000 (multiplicity 1)
4 F 0.000 0.500 0.500 (multiplicity 2)

Summary:
The energy above the lowest structure with this stoichiometry comes out at 0 meV/atom. Its total magnetic moment is 0.0 μB/f.u. The density of states at the Fermi level comes out at 3.56 states/eV/cell. Its crystal system is tetragonal.

***

## LiPm2Pr (GGA-PBE)

Data for a relaxed LiPm2Pr crystal.

Cell: 7.993 7.993 7.993 Å, 90.00 90.00 90.00°
Space group Fm-3m (No. 225)
Symmetry-distinct sites (fractional):
1 Li 0.000 0.000 0.000 (multiplicity 4)
2 Pm 0.250 0.250 0.250 (multiplicity 8)
3 Pr 0.000 0.000 0.500 (multiplicity 4)

Summary:
The calculated formation energy comes out at 0.199 eV per atom. The energy above the lowest structure with this stoichiometry comes out at 131 meV/atom. Its total magnetic moment is 0.0 μB/f.u. The density of states at the Fermi level comes out at 24.91 states/eV/cell. Its crystal system is cubic.